A plane-wave DFT calculation with PBE was carried out for crystalline LaCuOs2 at its relaxed geometry.

Unit cell a=2.882 b=4.714 c=10.152 alpha=90.00 beta=90.00 gamma=90.00
Fractional positions:
1 La 0.000 0.000 0.000
2 La 0.500 0.500 0.500
3 Cu 0.000 0.000 0.500
4 Cu 0.500 0.500 0.000
5 Os 0.000 0.500 0.220
6 Os 0.000 0.500 0.780
7 Os 0.500 0.000 0.280
8 Os 0.500 0.000 0.720

Results
Distance to the lowest polymorph of the same formula = 254.9 meV/atom
D(E_F) = 1.03 states/eV per atom
ΔE_f = 0.512 eV per atom
Calculated density = 14.037 g/cm³